This record from the Alexandria database describes Tl2RuW after structural relaxation. The functional is PBE-GGA.

The energy above the most stable polymorph in this dataset comes out at 570 meV per atom.

POSCAR file:
```
Tl2RuW
1.0
-3.441 -2.049 2.465
0.655 -2.675 -1.310
3.519 -1.355 3.786
Ru Tl W
1 2 1
direct
0.500 0.750 0.750 Ru
0.000 0.978 0.996 Tl
0.000 0.522 0.504 Tl
0.500 0.250 0.250 W
```


This record from the Alexandria database describes Tl2RuW after structural relaxation. The functional is PBE-GGA.

The energy above the most stable polymorph in this dataset comes out at 951 meV per atom.

POSCAR file:
```
Tl2RuW
1.0
-1.294 0.311 7.524
-7.131 -2.502 -1.123
-3.319 -3.763 3.464
Ru Tl W
2 4 2
direct
0.500 0.500 0.000 Ru
0.250 0.750 0.500 Ru
0.612 0.125 0.250 Tl
0.138 0.625 0.250 Tl
0.375 0.388 0.750 Tl
0.875 0.862 0.750 Tl
0.000 0.000 0.000 W
0.750 0.250 0.500 W
```


This record from the Alexandria database describes Tl2RuW after structural relaxation. The functional is PBE-GGA.

The energy above the most stable polymorph in this dataset comes out at 140 meV per atom.

POSCAR file:
```
Tl2RuW
1.0
9.967 -0.063 -0.037
9.511 2.980 -0.037
9.511 1.424 2.618
Ru Tl W
1 2 1
direct
0.759 0.759 0.759 Ru
0.009 0.009 0.009 Tl
0.243 0.243 0.243 Tl
0.489 0.489 0.489 W
```


Q: Number 1 is which compound?
A: Tl2RuW


Copy entry 1 word for word.
This record from the Alexandria database describes Tl2RuW after structural relaxation. The functional is PBE-GGA.

The energy above the most stable polymorph in this dataset comes out at 570 meV per atom.

POSCAR file:
```
Tl2RuW
1.0
-3.441 -2.049 2.465
0.655 -2.675 -1.310
3.519 -1.355 3.786
Ru Tl W
1 2 1
direct
0.500 0.750 0.750 Ru
0.000 0.978 0.996 Tl
0.000 0.522 0.504 Tl
0.500 0.250 0.250 W
```